TlSe2 | GGA-PBE | relaxed

Properties
D(E_F)   0.08 states/eV/f.u.
Calculated total energy   -19.655 eV per cell
Total moment   0.00 μB per atom
Space group   Cm
Offset from the most stable computed form   0.04 eV per formula unit
Formation energy without anion corrections   -164 meV/atom

Unit cell a=7.5949 b=7.5949 c=7.1650 alpha=63.22 beta=63.22 gamma=30.11
Closest atoms and distances in Å follow each position.
Fractional positions:
Se (0.0282, 0.0282, 0.9380)  4 Se 2.69-2.72
Se (0.4142, 0.4142, 0.1967)  2 Se 2.69
Se (0.6455, 0.6455, 0.6750)  1 Se 2.38
Se (0.5962, 0.5962, 0.4026)  1 Se 2.38
Tl (0.9059, 0.9059, 0.5573)  5 Se 3.17-3.51
Tl (0.2433, 0.2433, 0.0638)  3 Se 3.07-3.09